# Na2Ge4Br9

A geometry-optimized Na2Ge4Br9 structure (PBE, Alexandria via LeMat-Bulk).

E_form (uncorrected): -0.7265 eV/atom
Crystal system: triclinic
Magnetic moment: 0.4 μB per cell

abc: 7.269 7.271 20.317
angles: 90.03 90.07 119.97
Space group P-1 (No. 2)
One atom of each set of equivalent atoms:
Na1 0.002 0.000 0.154 [2 per cell]
Na2 0.002 0.002 0.655 [2 per cell]
Ge1 0.332 0.666 0.515 [2 per cell]
Ge2 0.332 0.667 0.017 [2 per cell]
Ge3 0.334 0.664 0.320 [2 per cell]
Ge4 0.336 0.669 0.819 [2 per cell]
Br1 0.001 0.331 0.250 [2 per cell]
Br2 0.005 0.639 0.416 [2 per cell]
Br3 0.006 0.367 0.917 [2 per cell]
Br4 0.333 0.001 0.250 [2 per cell]
Br5 0.333 0.332 0.750 [2 per cell]
Br6 0.358 0.992 0.916 [2 per cell]
Br7 0.359 0.366 0.415 [2 per cell]
Br8 0.367 0.006 0.583 [2 per cell]
Br9 0.368 0.361 0.084 [2 per cell]

# ZnC3

A geometry-optimized ZnC3 structure (PBE, Alexandria via LeMat-Bulk).

DFT formation energy: 1.842 eV/atom
Crystal system: orthorhombic
Magnetic moment: 0.0 μB per cell

abc: 2.381 5.646 7.717
angles: 90.00 90.00 90.00
Space group Immm (No. 71)
One atom of each set of equivalent atoms:
Zn1 0.000 0.000 0.000 [2 per cell]
C1 0.000 0.171 0.500 [4 per cell]
C2 0.000 0.500 0.000 [2 per cell]

# TbAlZn4

A geometry-optimized TbAlZn4 structure (PBE, Alexandria via LeMat-Bulk).

DFT formation energy: -0.087 eV/atom
Crystal system: orthorhombic
Magnetic moment: 0.0 μB per cell

abc: 4.333 15.745 6.667
angles: 90.00 90.00 90.00
Space group Cmcm (No. 63)
One atom of each set of equivalent atoms:
Tb1 0.000 0.119 0.250 [4 per cell]
Al1 0.000 0.342 0.250 [4 per cell]
Zn1 0.000 0.067 0.750 [4 per cell]
Zn2 0.000 0.260 0.576 [8 per cell]
Zn3 0.000 0.500 0.000 [4 per cell]